First-principles (PBE+U) data for a relaxed structure of K2ThWO6, as listed in the Alexandria database.

Structure (POSCAR):
```
K2ThWO6
1.0
-4.410 2.815 -3.030
3.007 -0.859 -5.175
-2.710 -2.756 -4.651
O W K Th
6 1 2 1
Cartesian
-1.623 -0.736 -4.354
-2.489 -0.064 -8.502
-3.734 -1.329 -10.636
1.001 0.135 -4.595
-5.113 -0.935 -8.261
-0.379 0.529 -2.220
-0.701 0.978 -4.103
-0.202 -1.319 -6.964
-3.910 0.519 -5.892
0.000 0.000 0.000
```

## Properties
The calculated volume comes out at 156.3 Å³ per cell. The electronic total energy is -7.220 eV/atom. The crystal system is cubic. As for the space group: No. 225.